[1]
{"formula": "Ce6TlPb6", "functional": "PBE", "state": "relaxed", "dos_ef_per_ev_fu": 40.77, "e_form_kj_per_mol_atoms": -25, "sg": "No. 191", "rho_g_cm3": 9.18, "cell": [[6.677, 0.000, 0.000], [-3.338, 5.782, 0.000], [0.000, 0.000, 10.722]], "species": ["Ce", "Ce", "Ce", "Ce", "Ce", "Ce", "Tl", "Pb", "Pb", "Pb", "Pb", "Pb", "Pb"], "fractional_positions": [[0.000, 0.000, 0.187], [0.000, 0.000, 0.813], [0.333, 0.667, 0.000], [0.333, 0.667, 0.500], [0.667, 0.333, 0.000], [0.667, 0.333, 0.500], [0.000, 0.000, 0.500], [0.000, 0.500, 0.250], [0.000, 0.500, 0.750], [0.500, 0.000, 0.250], [0.500, 0.000, 0.750], [0.500, 0.500, 0.250], [0.500, 0.500, 0.750]]}



[2]
{"formula": "ReNi2Os", "functional": "PBE", "state": "relaxed", "dos_ef_per_ev_fu": 4.89, "e_form_kj_per_mol_atoms": 12, "sg": "No. 139", "rho_g_cm3": 15.99, "cell": [[-1.841, 1.841, 3.781], [1.841, -1.841, 3.781], [1.841, 1.841, -3.781]], "species": ["Re", "Ni", "Ni", "Os"], "fractional_positions": [[0.000, 0.000, 0.000], [0.250, 0.750, 0.500], [0.750, 0.250, 0.500], [0.500, 0.500, 0.000]]}



[3]
{"formula": "Ba3Rh", "functional": "PBE", "state": "relaxed", "dos_ef_per_ev_fu": 3.33, "e_form_kj_per_mol_atoms": -9, "sg": "No. 44", "rho_g_cm3": 4.44, "cell": [[-2.095, 6.084, 3.780], [2.095, -6.084, 3.780], [2.095, 6.084, -3.780]], "species": ["Ba", "Ba", "Ba", "Rh"], "fractional_positions": [[0.000, 0.000, 0.000], [0.371, 0.536, 0.835], [0.701, 0.536, 0.165], [0.701, 0.201, 0.500]]}



[4]
{"formula": "ZnCu2HPd", "functional": "PBE", "state": "relaxed", "dos_ef_per_ev_fu": 1.00, "sg": "No. 123", "rho_g_cm3": 8.90, "cell": [[3.708, 0.000, 0.000], [0.000, 3.708, 0.000], [0.000, 0.000, 4.070]], "species": ["Zn", "Cu", "Cu", "H", "Pd"], "fractional_positions": [[0.000, 0.000, 0.000], [0.000, 0.500, 0.500], [0.500, 0.000, 0.500], [0.000, 0.000, 0.500], [0.500, 0.500, 0.000]]}



[5]
{"formula": "TePH4", "functional": "PBE", "state": "relaxed", "dos_ef_per_ev_fu": 1.99, "sg": "No. 1", "rho_g_cm3": 3.14, "cell": [[3.268, 0.000, 0.000], [0.051, 5.089, 0.000], [0.010, 0.011, 5.170]], "species": ["Te", "P", "H", "H", "H", "H"], "fractional_positions": [[0.000, 0.000, 0.000], [0.502, 0.502, 0.505], [0.263, 0.335, 0.670], [0.263, 0.671, 0.339], [0.739, 0.333, 0.339], [0.741, 0.668, 0.670]]}



[6]
{"formula": "Rb3Mg5", "functional": "PBE", "state": "relaxed", "dos_ef_per_ev_fu": 4.49, "e_form_kj_per_mol_atoms": 26, "sg": "No. 8", "rho_g_cm3": 1.85, "cell": [[3.339, -10.104, 0.000], [3.339, 10.104, 0.000], [-3.321, 0.000, 10.036]], "species": ["Rb", "Rb", "Rb", "Rb", "Rb", "Rb", "Mg", "Mg", "Mg", "Mg", "Mg", "Mg", "Mg", "Mg", "Mg", "Mg"], "fractional_positions": [[0.000, 0.000, 0.000], [0.042, 0.542, 0.085], [0.085, 0.500, 0.585], [0.500, 0.085, 0.585], [0.542, 0.042, 0.085], [0.585, 0.585, 0.171], [0.040, 0.040, 0.586], [0.104, 0.255, 0.360], [0.255, 0.104, 0.360], [0.329, 0.480, 0.811], [0.480, 0.329, 0.811], [0.545, 0.545, 0.585], [0.604, 0.832, 0.432], [0.752, 0.981, 0.738], [0.832, 0.604, 0.432], [0.981, 0.752, 0.738]]}



[7]
{"formula": "YHf2Ir2", "functional": "PBE", "state": "relaxed", "dos_ef_per_ev_fu": 4.46, "e_form_kj_per_mol_atoms": -80, "sg": "No. 139", "rho_g_cm3": 12.61, "cell": [[-2.228, 2.228, 5.509], [2.228, -2.228, 5.509], [2.228, 2.228, -5.509]], "species": ["Y", "Hf", "Hf", "Ir", "Ir"], "fractional_positions": [[0.000, 0.000, 0.000], [0.250, 0.750, 0.500], [0.750, 0.250, 0.500], [0.384, 0.384, 0.000], [0.616, 0.616, 0.000]]}



[8]
{"formula": "PmGdCoSi", "functional": "PBE", "state": "relaxed", "formation_energy_uncorrected_ev_per_fu": -1.11, "dos_ef_per_ev_fu": 1.58, "sg": "No. 216", "rho_g_cm3": 7.44, "cell": [[0.000, 3.515, 3.515], [3.515, 0.000, 3.515], [3.515, 3.515, 0.000]], "species": ["Pm", "Gd", "Co", "Si"], "fractional_positions": [[0.000, 0.000, 0.000], [0.500, 0.500, 0.500], [0.250, 0.250, 0.250], [0.750, 0.750, 0.750]]}



[9]
{"formula": "AlSb2Br", "functional": "PBE", "state": "relaxed", "formation_energy_uncorrected_ev_per_fu": 0.74, "dos_ef_per_ev_fu": 1.70, "sg": "No. 47", "rho_g_cm3": 5.63, "cell": [[3.358, 0.000, 0.000], [0.000, 5.486, 0.000], [0.000, 0.000, 5.615]], "species": ["Al", "Sb", "Sb", "Br"], "fractional_positions": [[0.000, 0.000, 0.000], [0.000, 0.500, 0.500], [0.500, 0.500, 0.000], [0.500, 0.000, 0.500]]}



[10]
{"formula": "RbTbY4S8", "functional": "PBE", "state": "relaxed", "formation_energy_uncorrected_ev_per_fu": -26.71, "dos_ef_per_ev_fu": 0.00, "sg": "No. 160", "rho_g_cm3": 3.53, "cell": [[4.141, 2.391, 6.779], [-4.141, 2.391, 6.779], [0.000, -4.782, 6.779]], "species": ["Rb", "Tb", "Y", "Y", "Y", "Y", "S", "S", "S", "S", "S", "S", "S", "S"], "fractional_positions": [[0.000, 0.000, 0.000], [0.630, 0.630, 0.630], [0.112, 0.630, 0.630], [0.250, 0.250, 0.250], [0.630, 0.112, 0.630], [0.630, 0.630, 0.112], [0.382, 0.382, 0.854], [0.382, 0.854, 0.382], [0.383, 0.383, 0.383], [0.432, 0.857, 0.857], [0.854, 0.382, 0.382], [0.856, 0.856, 0.856], [0.857, 0.432, 0.857], [0.857, 0.857, 0.432]]}



no.,final energy (eV per formula unit)
1,-63.56
2,-34.76
3,-13.48
4,-18.34
5,-21.23
6,-8.76
7,-48.24
8,-32.47
9,-12.92
10,-91.18